Record 1
The following is a PBE calculation of Tb2SmEr after structural relaxation, from the Alexandria database.

Geometry as extended XYZ:
```
4
Lattice="-0.2414 -2.9281 -2.0554 1.6942 -3.0102 0.9618 -8.8354 -5.3437 5.5229" Properties=species:S:1:pos:R:3 pbc="T T T"
Tb -1.8173 -2.8102 1.0894
Tb -6.5386 -4.5146 4.0720
Sm -3.6834 -5.6381 2.2097
Er 0.9654 -3.9600 -0.7271
```

Values from the calculation:
E ... -18.5 eV for the cell shown
Formation energy from the elements ... 0.014 eV/atom
DOS(E_F) ... 5.73 states/eV/f.u.
Offset from the most stable computed form ... 0.4 meV/atom

---

Record 2
The following is a PBE calculation of Tb2Sm6Er5 after structural relaxation, from the Alexandria database.

Geometry as extended XYZ:
```
26
Lattice="3.6023 0.0000 0.0000 0.0000 11.6674 0.0000 0.0000 0.0000 20.3233" Properties=species:S:1:pos:R:3 pbc="T T T"
Er 1.8011 8.1491 11.2688
Er 1.8011 10.5767 15.7496
Er 1.8011 6.9243 5.5879
Er 1.8011 0.0000 10.1617
Er 1.8011 4.7431 14.7354
Er 1.8011 2.3154 19.2162
Er 1.8011 5.8337 0.0000
Er 1.8011 1.0906 4.5737
Er 1.8011 9.3520 1.1071
Er 1.8011 3.5183 9.0546
Sm 0.0000 10.9729 18.7100
Sm 0.0000 5.1392 11.7750
Sm 0.0000 0.6945 1.6133
Sm 0.0000 10.7049 12.8740
Sm 0.0000 6.5282 8.5483
Sm 0.0000 6.7962 2.7124
Sm 0.0000 0.9625 7.4493
Sm 1.8011 2.0213 12.8512
Sm 0.0000 4.8712 17.6110
Sm 1.8011 3.8124 2.6896
Sm 1.8011 7.8550 17.6338
Sm 1.8011 9.6461 7.4721
Tb 0.0000 3.9016 5.8561
Tb 0.0000 9.7353 4.3056
Tb 0.0000 1.9321 16.0177
Tb 0.0000 7.7658 14.4673
```

Values from the calculation:
E ... -118.2 eV for the cell shown
Formation energy from the elements ... 0.101 eV/atom
DOS(E_F) ... 15.40 states/eV/f.u.

---

Record 3
The following is a PBE calculation of Tb4SmEr4 after structural relaxation, from the Alexandria database.

Geometry as extended XYZ:
```
9
Lattice="-3.7976 -0.9250 -3.1132 2.0500 -6.0294 -4.7195 -4.7816 -5.3265 3.4052" Properties=species:S:1:pos:R:3 pbc="T T T"
Er -0.5803 -2.3222 -2.6125
Er -5.9490 -9.9586 -1.8151
Er -5.7172 -4.1650 0.1911
Er -0.8120 -8.1158 -4.6187
Sm 0.0000 0.0000 0.0000
Tb -6.3044 -6.4855 -2.4135
Tb -3.0866 -7.8825 -1.9134
Tb -3.4426 -4.3984 -2.5142
Tb -0.2249 -5.7953 -2.0141
```

Values from the calculation:
E ... -41.3 eV for the cell shown
Formation energy from the elements ... 0.019 eV/atom
DOS(E_F) ... 12.79 states/eV/f.u.
Offset from the most stable computed form ... 0.0 meV/atom

---

Record 4
The following is a PBE calculation of Tb3Sm3Er5 after structural relaxation, from the Alexandria database.

Geometry as extended XYZ:
```
11
Lattice="-0.0530 1.9873 5.1004 7.3001 -5.8000 2.3359 1.7644 8.8101 -3.4144" Properties=species:S:1:pos:R:3 pbc="T T T"
Sm 2.6638 -1.1438 3.4110
Sm 0.6237 4.2404 1.2919
Sm 5.6975 2.8944 1.8691
Er 5.3315 -3.2633 4.2646
Er 3.5831 4.9337 1.0525
Er 1.2685 7.4599 0.0441
Er 2.3850 1.7945 2.2632
Er 5.4284 0.0637 2.9693
Tb 4.0329 1.3392 -0.4799
Tb 4.0522 -3.2195 1.2966
Tb 0.9794 4.8903 -1.8953
```

Values from the calculation:
E ... -41.9 eV for the cell shown
Formation energy from the elements ... 0.815 eV/atom
DOS(E_F) ... 17.62 states/eV/f.u.

---

Record 5
The following is a PBE calculation of TbSm6Er2 after structural relaxation, from the Alexandria database.

Geometry as extended XYZ:
```
9
Lattice="3.5746 0.3150 0.2325 -0.1427 6.1231 -6.3197 0.9162 0.7004 12.8866" Properties=species:S:1:pos:R:3 pbc="T T T"
Sm 3.3028 3.8243 -0.4715
Sm 1.4479 2.3687 2.2472
Sm 2.9002 4.7698 4.5521
Sm 1.0452 3.3142 7.2708
Sm 1.1740 5.9203 1.6047
Sm 3.1740 1.2182 5.1946
Er 2.7683 2.1614 10.1934
Er 1.5797 4.9770 -3.3941
Tb 0.0000 0.0000 0.0000
```

Values from the calculation:
E ... -41.9 eV for the cell shown
Formation energy from the elements ... 0.016 eV/atom
DOS(E_F) ... 12.80 states/eV/f.u.
Offset from the most stable computed form ... 0.0 meV/atom

---

Record 6
The following is a PBE calculation of Tb12Sm5Er2 after structural relaxation, from the Alexandria database.

Geometry as extended XYZ:
```
19
Lattice="5.9431 0.9992 -0.3666 -1.8991 8.3411 -4.7248 -0.4351 -0.1745 12.1474" Properties=species:S:1:pos:R:3 pbc="T T T"
Tb 4.5871 3.8078 4.5504
Tb -1.1738 8.0175 4.8336
Tb 2.2299 0.9553 4.2728
Tb -1.3805 5.3885 7.1162
Tb 1.3790 8.2106 2.7832
Tb 1.9166 3.1916 -1.5583
Tb 1.6923 5.9742 8.6143
Tb 4.7828 1.1484 2.2224
Tb 2.2061 6.3262 0.0074
Tb 4.9895 3.7774 -0.0602
Tb -0.9782 5.3580 2.5056
Tb 1.4029 2.8397 7.0486
Sm 4.3979 3.3175 8.4793
Sm -0.2175 -0.0872 6.0737
Sm 1.5124 5.5845 4.9819
Sm 2.0966 3.5814 2.0741
Sm -0.7890 5.8484 -1.4233
Er 1.9912 8.7844 6.2646
Er 1.6178 0.3815 0.7914
```

Values from the calculation:
E ... -86.1 eV for the cell shown
Formation energy from the elements ... 0.115 eV/atom
DOS(E_F) ... 29.09 states/eV/f.u.
Offset from the most stable computed form ... 0.0 meV/atom

---

Record 7
The following is a PBE calculation of TbSm3Er after structural relaxation, from the Alexandria database.

Geometry as extended XYZ:
```
10
Lattice="9.5558 0.0000 -1.3078 0.0000 5.7501 0.0000 -1.2355 0.0000 6.1838" Properties=species:S:1:pos:R:3 pbc="T T T"
Sm 3.3636 5.4626 1.7449
Sm 0.9683 5.4625 4.4867
Sm -1.0285 2.5875 5.1502
Sm 7.3521 2.5875 0.3893
Sm 9.3489 5.4625 -0.2741
Sm 4.9568 2.5876 3.1312
Tb 4.5399 5.4628 5.1845
Tb 3.7805 2.5878 -0.3085
Er 6.9375 5.4623 2.4426
Er 1.3828 2.5873 2.4334
```

Values from the calculation:
E ... -46.5 eV for the cell shown
Formation energy from the elements ... 0.018 eV/atom
DOS(E_F) ... 9.67 states/eV/f.u.
Offset from the most stable computed form ... 0.0 meV/atom

---

Record 8
The following is a PBE calculation of Tb2SmEr4 after structural relaxation, from the Alexandria database.

Geometry as extended XYZ:
```
14
Lattice="6.0071 0.0000 -0.3775 0.0000 6.5644 0.0000 -2.5097 0.0000 11.3456" Properties=species:S:1:pos:R:3 pbc="T T T"
Tb 0.6115 1.6411 4.9837
Tb -0.1463 1.6411 11.0837
Tb 2.8859 4.9233 5.9845
Tb 3.6437 4.9233 -0.1156
Sm 0.7030 4.9233 1.4831
Sm 2.7944 1.6411 9.4851
Er 3.7902 4.9233 9.1084
Er 0.4180 6.5157 7.9143
Er 3.6971 1.6411 6.2415
Er 3.0793 0.0487 3.0539
Er -0.1998 4.9233 4.7267
Er 3.0793 3.2335 3.0539
Er 0.4180 3.3309 7.9143
Er -0.2928 1.6411 1.8598
```

Values from the calculation:
E ... -62.6 eV for the cell shown
Formation energy from the elements ... 0.131 eV/atom
DOS(E_F) ... 11.63 states/eV/f.u.
Offset from the most stable computed form ... 92.8 meV/atom

---

Record 9
The following is a PBE calculation of Tb3Sm3Er2 after structural relaxation, from the Alexandria database.

Geometry as extended XYZ:
```
8
Lattice="5.7200 0.0000 0.0000 0.0000 5.9898 -0.2678 -2.8600 -2.7392 7.7256" Properties=species:S:1:pos:R:3 pbc="T T T"
Tb 2.8600 -0.1373 5.5875
Tb 0.0000 0.0000 0.0000
Tb 0.0000 3.3878 1.8704
Sm 2.8600 2.9949 -0.1339
Sm 0.0000 3.5396 5.4046
Sm 2.8600 -0.2891 2.0532
Er 2.8600 2.7190 3.6783
Er 0.0000 0.5315 3.7795
```

Values from the calculation:
E ... -36.5 eV for the cell shown
Formation energy from the elements ... 0.086 eV/atom
DOS(E_F) ... 14.04 states/eV/f.u.

---

Record 10
The following is a PBE calculation of Tb4SmEr5 after structural relaxation, from the Alexandria database.

Geometry as extended XYZ:
```
10
Lattice="-3.0094 -1.9777 -5.0912 -1.2151 -7.7552 -0.0883 -7.8082 -0.0394 0.8115" Properties=species:S:1:pos:R:3 pbc="T T T"
Tb -7.1645 -3.9100 -1.5218
Tb -3.7818 -2.5465 -0.2318
Tb -4.5824 -5.6745 -2.3626
Tb -7.9651 -7.0380 -3.6526
Er -1.7137 -5.0126 -0.4715
Er -10.0136 -4.5592 -3.3799
Er -2.0502 -1.3473 -3.4684
Er -6.5099 -7.4722 -0.5002
Er -5.2174 -2.0995 -3.3512
Sm -0.6678 -0.4389 -1.1298
```

Values from the calculation:
E ... -43.0 eV for the cell shown
Formation energy from the elements ... 0.303 eV/atom
DOS(E_F) ... 14.38 states/eV/f.u.
Offset from the most stable computed form ... 113.6 meV/atom

---

no.,volume (Å³ per atom),magnetic moment (μB/f.u.)
1,32.08,0.00
2,32.85,0.00
3,31.42,0.00
4,39.82,0.01
5,32.81,0.00
6,32.68,0.00
7,33.05,0.00
8,31.51,0.00
9,32.56,0.00
10,32.37,0.00